# YRhC3 (GGA-PBE, relaxed)
# Final energy, eV/atom: -5.28
# Symmetry: No. 221
# Crystal system: cubic
# Energy above the lowest structure with this stoichiometry, meV/atom: 1630
# Density, g/cm3: 4.618
# ΔE_f, eV/atom: 3.0199
data_YRhC3
_space_group_name_H-M_alt 'P 1'
_space_group_IT_number 1
_space_group_name_Hall 'P 1'
_cell_length_a 4.3433
_cell_length_b 4.3433
_cell_length_c 4.3433
_cell_angle_alpha 90.00
_cell_angle_beta 90.00
_cell_angle_gamma 90.00
loop_
_atom_site_label
_atom_site_fract_x
_atom_site_fract_y
_atom_site_fract_z
Y1 0.0000 0.0000 0.0000
C1 0.0000 0.5000 0.0000
C2 0.0000 0.0000 0.5000
C3 0.5000 0.0000 0.0000
Rh1 0.5000 0.5000 0.5000